Record 1
A geometry-optimized NaDyHg2 structure, computed with PBE.

Cell: 3.708 3.708 9.578 Å, 78.84 78.84 60.00°
Fractional coordinates of all 4 atoms:
Hg  0.752  0.752  0.743
Hg  0.248  0.248  0.257
Na  0.000  0.000  0.000
Dy  0.500  0.500  0.500

As for the density of states at the Fermi level: 2.07 states/eV/cell. Its magnetic moment is 0.000 μB per atom. As for the space group: R-3m.

***

Record 2
A geometry-optimized NaDy3Hg4 structure, computed with PBE.

Cell: 5.247 7.340 10.493 Å, 90.00 90.00 90.00°
Fractional coordinates of all 16 atoms:
Hg  0.500  0.251  0.500
Hg  0.500  0.749  0.000
Hg  0.999  0.749  0.750
Hg  0.500  0.749  0.500
Hg  0.001  0.251  0.250
Hg  0.999  0.251  0.750
Hg  0.500  0.251  0.000
Hg  0.001  0.749  0.250
Dy  0.501  0.000  0.250
Dy  0.501  0.500  0.250
Dy  0.000  0.000  0.500
Dy  0.499  0.500  0.750
Dy  0.000  0.000  0.000
Dy  0.499  0.000  0.750
Na  0.000  0.500  0.000
Na  0.000  0.500  0.500

As for the density of states at the Fermi level: 10.41 states/eV/cell. Its magnetic moment is 0.000 μB per atom. As for the space group: P4/mmm.

***

Record 3
A geometry-optimized NaDy2Hg structure, computed with PBE.

Cell: 3.753 3.753 8.397 Å, 90.00 90.00 90.00°
Site moments in Bohr magnetons follow the coordinates.
Fractional coordinates of all 4 atoms:
Dy  0.000  0.000  0.792  0.13
Dy  0.000  0.000  0.208  0.13
Hg  0.500  0.500  0.000  0.01
Na  0.500  0.500  0.500  0.00

As for the density of states at the Fermi level: 4.20 states/eV/cell. Its magnetic moment is 0.098 μB per atom. Its polymorph energy (0 for the lowest one) is 3.1 meV/atom. As for the space group: P4/mmm.

***

Record 4
A geometry-optimized Na3Dy2Hg4 structure, computed with PBE.

Cell: 5.147 5.153 10.128 Å, 89.85 90.01 60.03°
Fractional coordinates of all 9 atoms:
Na  0.000  0.000  0.000
Na  0.666  0.668  0.569
Na  0.334  0.332  0.431
Hg  0.999  0.002  0.681
Hg  0.001  0.998  0.319
Hg  0.666  0.667  0.892
Hg  0.334  0.333  0.108
Dy  0.667  0.665  0.199
Dy  0.333  0.335  0.801

As for the density of states at the Fermi level: 4.50 states/eV/cell. Its magnetic moment is 0.000 μB per atom. As for the space group: C2/m.

***

For each record above, in turn, the calculated final energy values are -7.4 -39.4 -11.0 -16.6 eV per cell.
For each record above, in turn, the calculated energy of formation values are -0.221 -0.421 -0.048 -0.252 eV/atom.
For each record above, in turn, the calculated volume values are 27.78 25.26 29.57 25.85 Å³/atom.